The following is a DFT calculation (GGA-PBE) of a relaxed structure of Sm2ZnHg4.

Summary:
As for the total DFT energy (no corrections): -1.98 eV/atom. For the volume, the calculation gives 26.19 Å³ per atom. As for the density of states at the Fermi level: 10.2 states/eV per cell. The calculation puts the theoretical density at 10.58 g cm⁻³.

Geometry as CIF:
```
data_Sm2ZnHg4
_space_group_name_H-M_alt 'R -3 m'
_space_group_IT_number 166
_space_group_name_Hall '-R 3 2"'
_cell_length_a 4.9530
_cell_length_b 4.9530
_cell_length_c 25.8893
_cell_angle_alpha 90.00
_cell_angle_beta 90.00
_cell_angle_gamma 120.00
loop_
_atom_site_label
_atom_site_fract_x
_atom_site_fract_y
_atom_site_fract_z
_atom_site_occupancy
Sm1 0.0000 0.0000 0.2474 1
Zn1 0.0000 0.0000 0.5000 1
Hg1 0.0000 0.0000 0.1257 1
Hg2 0.0000 0.0000 0.3691 1
```

The following is a DFT calculation (GGA-PBE) of a relaxed structure of ZrGaAu.

Summary:
As for the total DFT energy (no corrections): -5.50 eV/atom. For the volume, the calculation gives 18.70 Å³ per atom. As for the density of states at the Fermi level: 9.5 states/eV per cell. The calculation puts the theoretical density at 10.60 g cm⁻³.

Geometry as CIF:
```
data_ZrGaAu
_space_group_name_H-M_alt 'C 1 2/m 1'
_space_group_IT_number 12
_space_group_name_Hall '-C 2y'
_cell_length_a 10.151
_cell_length_b 4.373
_cell_length_c 6.580
_cell_angle_alpha 90.00
_cell_angle_beta 129.80
_cell_angle_gamma 90.00
loop_
_atom_site_label
_atom_site_fract_x
_atom_site_fract_y
_atom_site_fract_z
_atom_site_occupancy
Zr1 0.033 0.000 0.278 1
Ga1 0.159 0.500 0.688 1
Au1 0.172 0.500 0.124 1
```

The following is a DFT calculation (GGA-PBE) of a relaxed structure of Mn2CoOs2.

Summary:
As for the total DFT energy (no corrections): -8.94 eV/atom. For the volume, the calculation gives 14.32 Å³ per atom. As for the density of states at the Fermi level: 16.9 states/eV per cell. The value obtained for the offset from the most stable computed form is 33.8 kJ/mol of atoms. The calculation puts the theoretical density at 12.74 g cm⁻³.

Geometry as CIF:
```
data_Mn2CoOs2
_space_group_name_H-M_alt 'I 4/m m m'
_space_group_IT_number 139
_space_group_name_Hall '-I 4 2'
_cell_length_a 3.857
_cell_length_b 3.857
_cell_length_c 9.624
_cell_angle_alpha 90.00
_cell_angle_beta 90.00
_cell_angle_gamma 90.00
loop_
_atom_site_label
_atom_site_fract_x
_atom_site_fract_y
_atom_site_fract_z
_atom_site_occupancy
Mn1 0.000 0.000 0.104 1
Co1 0.000 0.000 0.500 1
Os1 0.000 0.500 0.250 1
```

The following is a DFT calculation (GGA-PBE) of a relaxed structure of NdIn8Pd2.

Summary:
As for the total DFT energy (no corrections): -3.62 eV/atom. For the volume, the calculation gives 24.81 Å³ per atom. As for the density of states at the Fermi level: 10.6 states/eV per cell. The calculation puts the theoretical density at 7.76 g cm⁻³.

Geometry as CIF:
```
data_NdIn8Pd2
_space_group_name_H-M_alt 'C 1 2/m 1'
_space_group_IT_number 12
_space_group_name_Hall '-C 2y'
_cell_length_a 8.813
_cell_length_b 12.293
_cell_length_c 5.159
_cell_angle_alpha 90.00
_cell_angle_beta 102.40
_cell_angle_gamma 90.00
loop_
_atom_site_label
_atom_site_fract_x
_atom_site_fract_y
_atom_site_fract_z
_atom_site_occupancy
Nd1 0.000 0.000 0.000 1
In1 0.000 0.261 0.000 1
In2 0.118 0.500 0.809 1
In3 0.205 0.128 0.597 1
Pd1 0.000 0.315 0.500 1
```

The following is a DFT calculation (GGA-PBE) of a relaxed structure of TePt2I3.

Summary:
As for the total DFT energy (no corrections): -3.37 eV/atom. For the volume, the calculation gives 33.25 Å³ per atom. As for the density of states at the Fermi level: 18.6 states/eV per cell. The value obtained for the offset from the most stable computed form is 0.0 kJ/mol of atoms. The calculation puts the theoretical density at 7.48 g cm⁻³.

Geometry as CIF:
```
data_TePt2I3
_space_group_name_H-M_alt 'C 1 2/m 1'
_space_group_IT_number 12
_space_group_name_Hall '-C 2y'
_cell_length_a 19.162
_cell_length_b 4.096
_cell_length_c 13.711
_cell_angle_alpha 90.00
_cell_angle_beta 132.14
_cell_angle_gamma 90.00
loop_
_atom_site_label
_atom_site_fract_x
_atom_site_fract_y
_atom_site_fract_z
_atom_site_occupancy
Te1 0.110 0.000 0.058 1
Pt1 0.050 0.000 0.183 1
Pt2 0.223 0.500 0.105 1
I1 0.120 0.500 0.348 1
I2 0.149 0.500 0.856 1
I3 0.167 0.000 0.636 1
```

The following is a DFT calculation (GGA-PBE) of a relaxed structure of CdFe4Sb.

Summary:
As for the total DFT energy (no corrections): -6.25 eV/atom. For the volume, the calculation gives 14.98 Å³ per atom. As for the density of states at the Fermi level: 24.4 states/eV per cell. The calculation puts the theoretical density at 8.45 g cm⁻³.

Geometry as CIF:
```
data_CdFe4Sb
_space_group_name_H-M_alt 'F -4 3 m'
_space_group_IT_number 216
_space_group_name_Hall 'F -4 2 3'
_cell_length_a 7.111
_cell_length_b 7.111
_cell_length_c 7.111
_cell_angle_alpha 90.00
_cell_angle_beta 90.00
_cell_angle_gamma 90.00
loop_
_atom_site_label
_atom_site_fract_x
_atom_site_fract_y
_atom_site_fract_z
_atom_site_occupancy
Cd1 0.000 0.000 0.000 1
Fe1 0.126 0.126 0.626 1
Sb1 0.250 0.250 0.250 1
```

The following is a DFT calculation (GGA-PBE) of a relaxed structure of ZrTi2Cu.

Summary:
As for the total DFT energy (no corrections): -7.00 eV/atom. For the volume, the calculation gives 17.29 Å³ per atom. As for the density of states at the Fermi level: 20.6 states/eV per cell. The value obtained for the offset from the most stable computed form is 11.8 kJ/mol of atoms. The calculation puts the theoretical density at 6.02 g cm⁻³.

Geometry as CIF:
```
data_ZrTi2Cu
_space_group_name_H-M_alt 'F -4 3 m'
_space_group_IT_number 216
_space_group_name_Hall 'F -4 2 3'
_cell_length_a 6.515
_cell_length_b 6.515
_cell_length_c 6.515
_cell_angle_alpha 90.00
_cell_angle_beta 90.00
_cell_angle_gamma 90.00
loop_
_atom_site_label
_atom_site_fract_x
_atom_site_fract_y
_atom_site_fract_z
_atom_site_occupancy
Zr1 0.000 0.000 0.000 1
Ti1 0.000 0.000 0.500 1
Ti2 0.250 0.250 0.750 1
Cu1 0.250 0.250 0.250 1
```

The following is a DFT calculation (GGA-PBE) of a relaxed structure of KMg.

Summary:
As for the total DFT energy (no corrections): -1.19 eV/atom. For the volume, the calculation gives 44.21 Å³ per atom. As for the density of states at the Fermi level: 6.8 states/eV per cell. The calculation puts the theoretical density at 1.19 g cm⁻³.

Geometry as CIF:
```
data_KMg
_space_group_name_H-M_alt 'C m c m'
_space_group_IT_number 63
_space_group_name_Hall '-C 2c 2'
_cell_length_a 3.958
_cell_length_b 21.082
_cell_length_c 4.238
_cell_angle_alpha 90.00
_cell_angle_beta 90.00
_cell_angle_gamma 90.00
loop_
_atom_site_label
_atom_site_fract_x
_atom_site_fract_y
_atom_site_fract_z
_atom_site_occupancy
K1 0.000 0.097 0.250 1
Mg1 0.000 0.278 0.250 1
```

The following is a DFT calculation (GGA-PBE) of a relaxed structure of Ac7Pm4Sm.

Summary:
As for the total DFT energy (no corrections): -4.34 eV/atom. For the volume, the calculation gives 40.47 Å³ per atom. As for the density of states at the Fermi level: 19.2 states/eV per cell. The calculation puts the theoretical density at 7.93 g cm⁻³.

Geometry as CIF:
```
data_Ac7Pm4Sm
_space_group_name_H-M_alt 'P -1'
_space_group_IT_number 2
_space_group_name_Hall '-P 1'
_cell_length_a 6.729
_cell_length_b 7.733
_cell_length_c 9.591
_cell_angle_alpha 89.65
_cell_angle_beta 76.67
_cell_angle_gamma 89.93
loop_
_atom_site_label
_atom_site_fract_x
_atom_site_fract_y
_atom_site_fract_z
_atom_site_occupancy
Ac1 0.000 0.000 0.000 1
Ac2 0.221 0.500 0.332 1
Ac3 0.282 0.755 0.664 1
Ac4 0.497 0.249 0.995 1
Pm1 0.219 0.001 0.336 1
Pm2 0.273 0.248 0.669 1
Sm1 0.000 0.500 0.000 1
```

The following is a DFT calculation (GGA-PBE) of a relaxed structure of ReNiMo2.

Summary:
As for the total DFT energy (no corrections): -9.75 eV/atom. For the volume, the calculation gives 14.65 Å³ per atom. As for the density of states at the Fermi level: 15.3 states/eV per cell. The value obtained for the offset from the most stable computed form is 19.1 kJ/mol of atoms. The calculation puts the theoretical density at 12.38 g cm⁻³.

Geometry as CIF:
```
data_ReNiMo2
_space_group_name_H-M_alt 'R -3 m'
_space_group_IT_number 166
_space_group_name_Hall '-R 3 2"'
_cell_length_a 2.7422
_cell_length_b 2.7422
_cell_length_c 26.9925
_cell_angle_alpha 90.00
_cell_angle_beta 90.00
_cell_angle_gamma 120.00
loop_
_atom_site_label
_atom_site_fract_x
_atom_site_fract_y
_atom_site_fract_z
_atom_site_occupancy
Re1 0.0000 0.0000 0.0000 1
Ni1 0.0000 0.0000 0.5000 1
Mo1 0.0000 0.0000 0.2474 1
```

The following is a DFT calculation (GGA-PBE) of a relaxed structure of Zr3Ni.

Summary:
As for the total DFT energy (no corrections): -7.83 eV/atom. For the volume, the calculation gives 19.69 Å³ per atom. As for the density of states at the Fermi level: 9.3 states/eV per cell. The calculation puts the theoretical density at 7.01 g cm⁻³.

Geometry as CIF:
```
data_Zr3Ni
_space_group_name_H-M_alt 'P 63/m m c'
_space_group_IT_number 194
_space_group_name_Hall '-P 6c 2c'
_cell_length_a 6.0658
_cell_length_b 6.0658
_cell_length_c 4.9431
_cell_angle_alpha 90.00
_cell_angle_beta 90.00
_cell_angle_gamma 120.00
loop_
_atom_site_label
_atom_site_fract_x
_atom_site_fract_y
_atom_site_fract_z
_atom_site_occupancy
Zr1 0.1742 0.3484 0.2500 1
Ni1 0.3333 0.6667 0.7500 1
```

The following is a DFT calculation (GGA-PBE) of a relaxed structure of Ca2TlHg.

Summary:
As for the total DFT energy (no corrections): -2.00 eV/atom. For the volume, the calculation gives 30.93 Å³ per atom. As for the density of states at the Fermi level: 2.5 states/eV per cell. The calculation puts the theoretical density at 6.51 g cm⁻³.

Geometry as CIF:
```
data_Ca2TlHg
_space_group_name_H-M_alt 'P m m 2'
_space_group_IT_number 25
_space_group_name_Hall 'P 2 -2'
_cell_length_a 4.117
_cell_length_b 4.501
_cell_length_c 6.676
_cell_angle_alpha 90.00
_cell_angle_beta 90.00
_cell_angle_gamma 90.00
loop_
_atom_site_label
_atom_site_fract_x
_atom_site_fract_y
_atom_site_fract_z
_atom_site_occupancy
Ca1 0.000 0.000 0.000 1
Ca2 0.500 0.500 0.355 1
Tl1 0.500 0.500 0.830 1
Hg1 0.000 0.000 0.515 1
```

The following is a DFT calculation (GGA-PBE) of a relaxed structure of Ac4AgPtCl2.

Summary:
As for the total DFT energy (no corrections): -4.73 eV/atom. For the volume, the calculation gives 33.08 Å³ per atom. As for the density of states at the Fermi level: 8.7 states/eV per cell. The calculation puts the theoretical density at 8.04 g cm⁻³.

Geometry as CIF:
```
data_Ac4AgPtCl2
_space_group_name_H-M_alt 'P 1 2/m 1'
_space_group_IT_number 10
_space_group_name_Hall '-P 2y'
_cell_length_a 7.876
_cell_length_b 4.530
_cell_length_c 7.880
_cell_angle_alpha 90.00
_cell_angle_beta 109.72
_cell_angle_gamma 90.00
loop_
_atom_site_label
_atom_site_fract_x
_atom_site_fract_y
_atom_site_fract_z
_atom_site_occupancy
Ac1 0.232 0.000 0.225 1
Ac2 0.238 0.500 0.767 1
Ag1 0.500 0.000 0.000 1
Pt1 0.000 0.500 0.000 1
Cl1 0.000 0.000 0.500 1
Cl2 0.500 0.500 0.500 1
```